This record from Alexandria describes crystalline CeY5Er12 at its relaxed geometry. The functional is PBE.

Formation enthalpy at 0 K in kJ/mol of atoms: 3.5

Unit cell a=14.957 b=10.587 c=4.992 alpha=90.00 beta=90.00 gamma=45.06
Fractional positions:
Ce 0.000 0.000 0.000
Y 0.500 0.000 0.500
Y 0.165 0.669 0.500
Y 0.835 0.331 0.500
Y 0.667 0.666 0.000
Y 0.333 0.334 0.000
Er 0.834 0.000 0.500
Er 0.166 0.000 0.500
Er 0.668 0.000 0.000
Er 0.332 0.000 0.000
Er 0.335 0.667 0.000
Er 0.999 0.667 0.000
Er 0.001 0.333 0.000
Er 0.665 0.333 0.000
Er 0.502 0.332 0.500
Er 0.833 0.668 0.500
Er 0.167 0.332 0.500
Er 0.498 0.668 0.500

=====

This record from Alexandria describes crystalline Dy2Zn3Au at its relaxed geometry. The functional is PBE.

Polymorph energy (0 for the lowest one) in eV per atom: 0.0826
Formation enthalpy at 0 K in kJ/mol of atoms: -42.2

Unit cell a=4.259 b=3.760 c=8.533 alpha=102.73 beta=104.45 gamma=90.00
Fractional positions:
Dy 0.126 0.126 0.252
Dy 0.875 0.375 0.750
Zn 0.710 0.710 0.420
Zn 0.555 0.555 0.110
Zn 0.286 0.786 0.572
Au 0.448 0.948 0.896

=====

This record from Alexandria describes crystalline PrSm4Dy3S8 at its relaxed geometry. The functional is PBE.

ΔE_f (raw) in meV per atom: -2003

Unit cell a=7.966 b=7.973 c=7.967 alpha=119.97 beta=120.00 gamma=90.00
Fractional positions:
Pr 0.000 0.500 0.000
Sm 0.500 0.000 0.000
Sm 0.500 0.000 0.500
Sm 0.000 0.000 0.000
Sm 0.000 0.000 0.500
Dy 0.500 0.500 0.000
Dy 0.500 0.500 0.500
Dy 0.000 0.500 0.500
S 0.253 0.746 0.993
S 0.253 0.746 0.506
S 0.254 0.261 0.507
S 0.740 0.746 0.993
S 0.260 0.254 0.007
S 0.746 0.739 0.493
S 0.747 0.254 0.494
S 0.747 0.254 0.007

=====

This record from Alexandria describes crystalline PrBe2Au8 at its relaxed geometry. The functional is PBE.

Formation enthalpy at 0 K in kJ/mol of atoms: -12.6

Unit cell a=5.567 b=5.567 c=7.748 alpha=90.00 beta=90.00 gamma=90.00
Fractional positions:
Pr 0.500 0.500 0.500
Be 0.500 0.000 0.000
Be 0.000 0.500 0.000
Au 0.753 0.753 0.195
Au 0.753 0.247 0.805
Au 0.753 0.753 0.805
Au 0.753 0.247 0.195
Au 0.247 0.753 0.195
Au 0.247 0.753 0.805
Au 0.247 0.247 0.195
Au 0.247 0.247 0.805

=====

This record from Alexandria describes crystalline Ce7Ge3N2 at its relaxed geometry. The functional is PBE.

ΔE_f (raw) in meV per atom: -856

Unit cell a=4.677 b=4.828 c=12.157 alpha=101.45 beta=90.00 gamma=90.00
Fractional positions:
Ce 0.000 0.399 0.798
Ce 0.000 0.794 0.587
Ce 0.000 0.000 0.000
Ce 0.000 0.601 0.202
Ce 0.500 0.095 0.190
Ce 0.500 0.905 0.810
Ce 0.000 0.206 0.413
Ge 0.500 0.500 0.000
Ge 0.500 0.689 0.378
Ge 0.500 0.311 0.622
N 0.000 0.895 0.790
N 0.000 0.105 0.210

=====

This record from Alexandria describes crystalline VZnP2Cl at its relaxed geometry. The functional is PBE.

Polymorph energy (0 for the lowest one) in eV per atom: 0.0000
ΔE_f (raw) in meV per atom: 148

Unit cell a=4.526 b=4.526 c=4.922 alpha=90.00 beta=90.00 gamma=90.00
Fractional positions:
P 0.000 0.500 0.000
P 0.500 0.000 0.000
Zn 0.500 0.500 0.500
Cl 0.000 0.000 0.500
V 0.000 0.000 0.000

=====

This record from Alexandria describes crystalline LiHo4Ge4 at its relaxed geometry. The functional is PBE.

Formation enthalpy at 0 K in kJ/mol of atoms: -79.8

Unit cell a=7.116 b=7.691 c=14.648 alpha=90.00 beta=90.00 gamma=90.00
Fractional positions:
Li 0.661 0.974 0.750
Li 0.161 0.526 0.750
Li 0.339 0.026 0.250
Li 0.839 0.474 0.250
Ho 0.516 0.313 0.098
Ho 0.016 0.187 0.402
Ho 0.484 0.687 0.598
Ho 0.984 0.813 0.902
Ho 0.484 0.687 0.902
Ho 0.984 0.813 0.598
Ho 0.516 0.313 0.402
Ho 0.016 0.187 0.098
Ho 0.828 0.324 0.628
Ho 0.328 0.176 0.872
Ho 0.172 0.676 0.128
Ho 0.672 0.824 0.372
Ho 0.172 0.676 0.372
Ho 0.672 0.824 0.128
Ho 0.828 0.324 0.872
Ho 0.328 0.176 0.628
Ge 0.667 0.034 0.537
Ge 0.167 0.466 0.963
Ge 0.333 0.966 0.037
Ge 0.833 0.534 0.463
Ge 0.333 0.966 0.463
Ge 0.833 0.534 0.037
Ge 0.667 0.034 0.963
Ge 0.167 0.466 0.537
Ge 0.517 0.415 0.750
Ge 0.017 0.085 0.750
Ge 0.483 0.585 0.250
Ge 0.983 0.915 0.250
Ge 0.784 0.638 0.750
Ge 0.284 0.862 0.750
Ge 0.216 0.362 0.250
Ge 0.716 0.138 0.250

=====

This record from Alexandria describes crystalline La4Sb2N at its relaxed geometry. The functional is PBE.

Polymorph energy (0 for the lowest one) in eV per atom: 0.0061
ΔE_f (raw) in meV per atom: -1112

Unit cell a=6.846 b=6.884 c=9.624 alpha=90.00 beta=109.55 gamma=90.00
Fractional positions:
La 0.518 0.489 0.287
La 0.157 0.750 0.957
La 0.843 0.250 0.043
La 0.518 0.011 0.287
La 0.926 0.250 0.655
La 0.482 0.989 0.713
La 0.482 0.511 0.713
La 0.074 0.750 0.345
Sb 0.705 0.750 0.035
Sb 0.295 0.250 0.965
Sb 0.178 0.250 0.411
Sb 0.822 0.750 0.589
N 0.302 0.750 0.211
N 0.698 0.250 0.789

=====

This record from Alexandria describes crystalline Tm3ThTc at its relaxed geometry. The functional is PBE.

Polymorph energy (0 for the lowest one) in eV per atom: 0.0407
Formation enthalpy at 0 K in kJ/mol of atoms: -5.5

Unit cell a=7.253 b=7.253 c=7.232 alpha=107.23 beta=114.51 gamma=106.92
Fractional positions:
Tm 0.844 0.053 0.293
Tm 0.240 0.449 0.293
Tm 0.760 0.551 0.707
Tm 0.706 0.450 0.156
Tm 0.156 0.947 0.707
Tm 0.294 0.550 0.844
Th 0.718 0.049 0.766
Th 0.282 0.951 0.234
Tc 0.625 0.764 0.388
Tc 0.375 0.236 0.612

=====

This record from Alexandria describes crystalline AsIr2Os at its relaxed geometry. The functional is PBE.

Formation enthalpy at 0 K in kJ/mol of atoms: 27.6

Unit cell a=4.753 b=4.753 c=2.794 alpha=90.00 beta=90.00 gamma=109.01
Fractional positions:
As 0.000 0.500 0.500
Ir 0.000 0.000 0.000
Ir 0.500 0.500 0.000
Os 0.500 0.000 0.500

=====

This record from Alexandria describes crystalline LiP2Au at its relaxed geometry. The functional is PBE.

Polymorph energy (0 for the lowest one) in eV per atom: 0.5474
Formation enthalpy at 0 K in kJ/mol of atoms: 18.9

Unit cell a=4.502 b=4.502 c=4.502 alpha=60.00 beta=60.00 gamma=60.00
Fractional positions:
P 0.250 0.250 0.250
P 0.750 0.750 0.750
Au 0.500 0.500 0.500
Li 0.000 0.000 0.000

=====

This record from Alexandria describes crystalline Pu2PO at its relaxed geometry. The functional is PBE.

Polymorph energy (0 for the lowest one) in eV per atom: 0.0915
ΔE_f (raw) in meV per atom: -1705

Unit cell a=4.372 b=4.372 c=8.418 alpha=90.01 beta=90.01 gamma=90.00
Fractional positions:
Pu 0.750 0.750 0.865
Pu 0.750 0.250 0.500
Pu 0.250 0.250 0.135
Pu 0.250 0.750 0.500
P 0.250 0.250 0.788
P 0.750 0.750 0.212
O 0.250 0.250 0.398
O 0.750 0.750 0.602